(1)
This record from Alexandria describes a PBEsol-optimized structure of Fe2RuAu. The functional is meta-GGA SCAN.

a = 4.2548 Å, b = 4.2548 Å, c = 4.2548 Å
α = 60.00°, β = 60.00°, γ = 60.00°
With the nearest neighbours (Å) after each atom.
Fractional coordinates of all 4 atoms:
1 Au 0.5000 0.5000 0.5000  4 Fe 2.61, 4 Ru 2.61
2 Fe 0.0000 0.0000 0.0000  4 Fe 2.61, 4 Ru 2.61
3 Fe 0.2500 0.2500 0.2500  4 Au 2.61, 4 Fe 2.61
4 Ru 0.7500 0.7500 0.7500  4 Fe 2.61, 4 Au 2.61

Summary:
DFT total energy = -1.28015 Ha/atom
Crystal system = cubic
Polymorph energy (0 for the lowest one) = 3.25 kcal/mol of atoms
Energy of formation from the pure elements = 0.226 eV per atom

***

(2)
This record from Alexandria describes a PBEsol-optimized structure of FeTcAu2S. The functional is meta-GGA SCAN.

a = 4.2050 Å, b = 4.7163 Å, c = 4.7163 Å
α = 90.00°, β = 90.00°, γ = 90.00°
With the nearest neighbours (Å) after each atom.
Fractional coordinates of all 5 atoms:
1 S 0.5000 0.5000 0.5000  8 Au 3.16, 4 Tc 3.33
2 Au 0.0000 0.0000 0.5000  2 Fe 2.36
3 Au 0.0000 0.5000 0.0000  2 Fe 2.36
4 Tc 0.5000 0.0000 0.0000  2 Fe 2.10
5 Fe 0.0000 0.0000 0.0000  2 Tc 2.10

Summary:
DFT total energy = -1.43170 Ha/atom
Crystal system = tetragonal
Raw formation energy = 1.268 eV/atom

***

(3)
This record from Alexandria describes a PBEsol-optimized structure of FeTeAu2S. The functional is meta-GGA SCAN.

a = 4.8314 Å, b = 5.1034 Å, c = 5.1034 Å
α = 90.00°, β = 90.00°, γ = 90.00°
With the nearest neighbours (Å) after each atom.
Fractional coordinates of all 5 atoms:
1 S 0.5000 0.5000 0.5000  8 Au 3.51, 4 Fe 3.61
2 Te 0.0000 0.0000 0.0000  2 Fe 2.42, 4 Au 2.55
3 Au 0.0000 0.0000 0.5000  2 Te 2.55
4 Au 0.0000 0.5000 0.0000  2 Te 2.55
5 Fe 0.5000 0.0000 0.0000  2 Te 2.42

Summary:
DFT total energy = -1.46080 Ha/atom
Crystal system = tetragonal
Raw formation energy = 0.914 eV/atom

***

(4)
This record from Alexandria describes a PBEsol-optimized structure of FeSb2Au. The functional is meta-GGA SCAN.

a = 3.2084 Å, b = 3.2084 Å, c = 7.3098 Å
α = 90.00°, β = 90.00°, γ = 90.00°
With the nearest neighbours (Å) after each atom.
Fractional coordinates of all 4 atoms:
1 Au 0.5000 0.5000 0.0000  8 Sb 3.08, 4 Au 3.21
2 Fe 0.5000 0.5000 0.5000  8 Sb 2.76
3 Sb 0.0000 0.0000 0.7146  4 Fe 2.76, 4 Au 3.08
4 Sb 0.0000 0.0000 0.2854  4 Fe 2.76, 4 Au 3.08

Summary:
DFT total energy = -1.47449 Ha/atom
Crystal system = tetragonal
Raw formation energy = 0.329 eV/atom